{"formula": "Cs3Li2I5", "functional": "PBEsol", "state": "optimized geometry", "lattice": [[14.9459, -2.3727, 0.0000], [14.9459, 2.3727, 0.0000], [-2.1931, 0.0000, 11.8273]], "species": ["Cs", "Cs", "Cs", "Cs", "Cs", "Cs", "Li", "Li", "Li", "Li", "I", "I", "I", "I", "I", "I", "I", "I", "I", "I"], "fractional_positions": [[0.0558, 0.0558, 0.1528], [0.0676, 0.0676, 0.6560], [0.2540, 0.2540, 0.2597], [0.7460, 0.7460, 0.7403], [0.9324, 0.9324, 0.3440], [0.9442, 0.9442, 0.8472], [0.3567, 0.3567, 0.0330], [0.3580, 0.3580, 0.5829], [0.6420, 0.6420, 0.4171], [0.6433, 0.6433, 0.9670], [0.1785, 0.1785, 0.8996], [0.1786, 0.1786, 0.5159], [0.3433, 0.3433, 0.8009], [0.4486, 0.4486, 0.1055], [0.4501, 0.4501, 0.5960], [0.5499, 0.5499, 0.4040], [0.5514, 0.5514, 0.8945], [0.6567, 0.6567, 0.1991], [0.8214, 0.8214, 0.4841], [0.8215, 0.8215, 0.1004]], "magmom_total_mub_per_cell": 0.00, "dos_at_fermi_per_ev_atom": 0.000, "raw_formation_energy_ev_per_atom": -1.408, "total_energy_ev_per_atom": -2.968}